(1)
FeSnI after structural relaxation, computed with PBE.

## Properties
**Mass density**: 6.668 g/cm³
**Magnetization**: 0.838 μB per atom
**Raw formation energy**: 147 meV/atom
**Fermi-level density of states**: 0.635 states/eV per atom

abc: 4.084 5.531 6.805
angles: 77.60 89.95 90.00
Space group P-1 (No. 2)
Asymmetric unit:
Fe (0.250, 0.128, 0.443)
Sn (0.250, 0.659, 0.360)
I (0.249, 0.790, 0.856)


(2)
FeSnI2 after structural relaxation, computed with PBE.

## Properties
**Mass density**: 6.438 g/cm³
**Magnetization**: 0.803 μB per atom
**Raw formation energy**: 542 meV/atom
**Excess energy over the best structure of this formula in the dataset**: 236 meV/atom
**Fermi-level density of states**: 0.763 states/eV per atom

abc: 7.617 7.617 7.617
angles: 90.00 90.00 90.00
Space group Fm-3m (No. 225)
Asymmetric unit:
Fe (0.000, 0.000, 0.000)
Sn (0.000, 0.000, 0.500)
I (0.250, 0.250, 0.250)